Record 1
# ZrCoSe2, optimized geometry, DFT PBE-GGA
# **Mass density**: 5.608 Mg/m³
# **DOS at the Fermi energy**: 3.37 states/eV per cell
# **Total energy**: -25.61 eV per cell
# **Energy above the lowest structure with this stoichiometry**: 0.00 eV/f.u.
# **Size of the total moment**: 0.1 μB/f.u.
# **Crystal system**: trigonal
data_ZrCoSe2
_cell_length_a 7.5939
_cell_length_b 7.5939
_cell_length_c 7.5939
_cell_angle_alpha 29.03
_cell_angle_beta 29.03
_cell_angle_gamma 29.03
_symmetry_space_group_name_H-M 'P 1'
_symmetry_Int_Tables_number 1
_symmetry_space_group_name_Hall 'P 1'
loop_
_atom_site_label
_atom_site_type_symbol
_atom_site_fract_x
_atom_site_fract_y
_atom_site_fract_z
Zr1 Zr 0.0000 0.0000 0.0000
Co1 Co 0.2570 0.2570 0.2570
Se1 Se 0.5687 0.5687 0.5687
Se2 Se 0.7403 0.7403 0.7403


Record 2
# Ni3Te8Rh, optimized geometry, DFT PBE-GGA
# **Mass density**: 7.618 Mg/m³
# **DOS at the Fermi energy**: 6.38 states/eV per cell
# **Total energy**: -53.02 eV per cell
# **Size of the total moment**: 0.0 μB/f.u.
# **Crystal system**: triclinic
data_Ni3Te8Rh
_cell_length_a 6.5851
_cell_length_b 6.6059
_cell_length_c 7.8545
_cell_angle_alpha 107.33
_cell_angle_beta 107.25
_cell_angle_gamma 106.90
_symmetry_space_group_name_H-M 'P 1'
_symmetry_Int_Tables_number 1
_symmetry_space_group_name_Hall 'P 1'
loop_
_atom_site_label
_atom_site_type_symbol
_atom_site_fract_x
_atom_site_fract_y
_atom_site_fract_z
Ni1 Ni 0.0000 0.0000 0.0000
Ni2 Ni 0.0000 0.0000 0.5000
Ni3 Ni 0.5000 0.5000 0.0000
Te1 Te 0.2036 0.4550 0.6681
Te2 Te 0.2072 0.4513 0.1607
Te3 Te 0.2877 0.0470 0.8325
Te4 Te 0.2891 0.0372 0.3315
Te5 Te 0.7109 0.9628 0.6685
Te6 Te 0.7123 0.9530 0.1675
Te7 Te 0.7928 0.5487 0.8393
Te8 Te 0.7964 0.5450 0.3319
Rh1 Rh 0.5000 0.5000 0.5000


Record 3
# LiAc2PbS, optimized geometry, DFT PBE-GGA
# **Mass density**: 7.735 Mg/m³
# **DOS at the Fermi energy**: 6.41 states/eV per cell
# **Total energy**: -46.33 eV per cell
# **Size of the total moment**: 0.0 μB/f.u.
# **Crystal system**: monoclinic
data_LiAc2PbS
_cell_length_a 7.6443
_cell_length_b 4.6645
_cell_length_c 8.7571
_cell_angle_alpha 90.00
_cell_angle_beta 105.68
_cell_angle_gamma 90.00
_symmetry_space_group_name_H-M 'P 1'
_symmetry_Int_Tables_number 1
_symmetry_space_group_name_Hall 'P 1'
loop_
_atom_site_label
_atom_site_type_symbol
_atom_site_fract_x
_atom_site_fract_y
_atom_site_fract_z
Li1 Li 0.0386 0.2500 0.1992
Li2 Li 0.9614 0.7500 0.8008
Ac1 Ac 0.2567 0.7500 0.5351
Ac2 Ac 0.3382 0.7500 0.1017
Ac3 Ac 0.6618 0.2500 0.8983
Ac4 Ac 0.7433 0.2500 0.4649
Pb1 Pb 0.1655 0.2500 0.8012
Pb2 Pb 0.8345 0.7500 0.1988
S1 S 0.3436 0.2500 0.3321
S2 S 0.6564 0.7500 0.6679


Record 4
# TaNiPb3, optimized geometry, DFT PBE-GGA
# **Mass density**: 8.622 Mg/m³
# **DOS at the Fermi energy**: 11.13 states/eV per cell
# **Total energy**: -23.23 eV per cell
# **Energy above the lowest structure with this stoichiometry**: 0.46 eV/f.u.
# **Size of the total moment**: 1.2 μB/f.u.
# **Crystal system**: cubic
# **Calculated formation energy**: 1.106 eV per atom
data_TaNiPb3
_cell_length_a 5.4943
_cell_length_b 5.4943
_cell_length_c 5.4943
_cell_angle_alpha 90.00
_cell_angle_beta 90.00
_cell_angle_gamma 90.00
_symmetry_space_group_name_H-M 'P 1'
_symmetry_Int_Tables_number 1
_symmetry_space_group_name_Hall 'P 1'
loop_
_atom_site_label
_atom_site_type_symbol
_atom_site_fract_x
_atom_site_fract_y
_atom_site_fract_z
Ta1 Ta 0.0000 0.0000 0.0000
Ni1 Ni 0.5000 0.5000 0.5000
Pb1 Pb 0.0000 0.0000 0.5000
Pb2 Pb 0.0000 0.5000 0.0000
Pb3 Pb 0.5000 0.0000 0.0000